No. 1
Density functional theory data (PBE) for crystalline La2As at its relaxed geometry.

Cell lengths 6.096, 6.096, 8.584 Å; angles 63.50, 63.50, 39.89 degrees
Element x y z (fractional)
As1 0.668 0.668 0.323
La1 0.658 0.658 0.946
La2 0.068 0.068 0.637
La3 0.932 0.932 0.363
La4 0.342 0.342 0.054
As2 0.332 0.332 0.677

Symmetry: C2/m, No. 12
Energy, eV per cell: -34.5
Energy relative to the elements, eV/atom: -0.91
Total magnetic moment, Bohr magnetons per cell: 0.01

=====

No. 2
Density functional theory data (PBE) for crystalline La6As5 at its relaxed geometry.

Cell lengths 7.537, 7.536, 7.530 Å; angles 120.03, 99.61, 70.52 degrees
Element x y z (fractional)
As1 0.500 0.835 0.669
La1 0.255 0.570 0.655
As2 0.500 0.165 0.331
As3 0.000 0.333 0.667
La2 0.745 0.430 0.345
La3 0.255 0.915 0.345
As4 0.500 0.500 0.000
La4 0.745 0.085 0.655
La5 0.742 0.741 0.000
La6 0.258 0.259 0.000
As5 0.000 0.667 0.333

Symmetry: C2/m, No. 12
Energy, eV per cell: -68.5
Energy relative to the elements, eV/atom: -1.42
Total magnetic moment, Bohr magnetons per cell: 1.08

=====

No. 3
Density functional theory data (PBE) for crystalline LaAs5 at its relaxed geometry.

Cell lengths 7.884, 7.884, 3.939 Å; angles 90.00, 90.00, 145.00 degrees
Element x y z (fractional)
As1 0.657 0.343 0.000
As2 0.953 0.047 0.000
As3 0.365 0.635 0.000
As4 0.766 0.234 0.500
As5 0.474 0.526 0.500
La1 0.120 0.880 0.500

Symmetry: Amm2, No. 38
Energy, eV per cell: -30.3
Energy relative to the elements, eV/atom: -0.36
Total magnetic moment, Bohr magnetons per cell: 0.00

=====

No. 4
Density functional theory data (PBE) for crystalline La2As at its relaxed geometry.

Cell lengths 17.341, 17.341, 17.341 Å; angles 165.19, 165.19, 21.00 degrees
Element x y z (fractional)
La1 0.497 0.997 0.500
La2 0.003 0.503 0.500
La3 0.838 0.338 0.500
La4 0.588 0.588 0.000
La5 0.662 0.162 0.500
As1 0.320 0.820 0.500
La6 0.753 0.753 0.000
La7 0.412 0.412 0.000
As2 0.930 0.930 0.000
As3 0.180 0.680 0.500
As4 0.070 0.070 0.000
La8 0.247 0.247 0.000

Symmetry: I4_1/amd, No. 141
Energy, eV per cell: -68.3
Energy relative to the elements, eV/atom: -0.86
Total magnetic moment, Bohr magnetons per cell: 0.00

=====

No. 5
Density functional theory data (PBE) for crystalline La2As at its relaxed geometry.

Cell lengths 7.365, 7.365, 7.365 Å; angles 90.00, 90.00, 90.00 degrees
Element x y z (fractional)
La1 0.651 0.849 0.849
La2 0.849 0.151 0.349
La3 0.349 0.151 0.151
La4 0.651 0.651 0.349
La5 0.151 0.849 0.651
As1 0.500 0.000 0.500
La6 0.349 0.349 0.651
As2 0.500 0.500 0.000
La7 0.151 0.651 0.151
As3 0.000 0.000 0.000
As4 0.000 0.500 0.500
La8 0.849 0.349 0.849

Symmetry: Pa-3, No. 205
Energy, eV per cell: -68.2
Energy relative to the elements, eV/atom: -0.85
Total magnetic moment, Bohr magnetons per cell: 0.03

=====

No. 6
Density functional theory data (PBE) for crystalline LaAs at its relaxed geometry.

Cell lengths 5.186, 5.186, 5.186 Å; angles 60.01, 60.01, 60.01 degrees
Element x y z (fractional)
As1 0.750 0.750 0.750
La1 0.500 0.500 0.500
As2 0.000 0.000 0.000
La2 0.250 0.250 0.250

Symmetry: Fd-3m, No. 227
Energy, eV per cell: -21.2
Energy relative to the elements, eV/atom: -0.51
Total magnetic moment, Bohr magnetons per cell: 0.00

=====

No. 7
Density functional theory data (PBE) for crystalline La5As at its relaxed geometry.

Cell lengths 9.433, 9.433, 5.388 Å; angles 90.00, 90.00, 156.25 degrees
Element x y z (fractional)
La1 0.467 0.533 0.500
As1 0.999 0.001 0.000
La2 0.348 0.652 0.000
La3 0.640 0.360 0.000
La4 0.103 0.897 0.500
La5 0.777 0.223 0.500

Symmetry: Amm2, No. 38
Energy, eV per cell: -31.2
Energy relative to the elements, eV/atom: -0.31
Total magnetic moment, Bohr magnetons per cell: 0.00

=====

No. 8
Density functional theory data (PBE) for crystalline La2As at its relaxed geometry.

Cell lengths 7.881, 7.881, 7.881 Å; angles 149.30, 131.82, 58.22 degrees
Element x y z (fractional)
As1 0.640 0.640 0.000
La1 0.730 0.000 0.730
As2 0.360 0.360 0.000
La2 0.200 0.700 0.500
La3 0.800 0.300 0.500
La4 0.270 0.000 0.270

Symmetry: Immm, No. 71
Energy, eV per cell: -34.6
Energy relative to the elements, eV/atom: -0.94
Total magnetic moment, Bohr magnetons per cell: 0.00

=====

No. 9
Density functional theory data (PBE) for crystalline La3As at its relaxed geometry.

Cell lengths 6.178, 6.178, 6.178 Å; angles 116.01, 116.01, 116.01 degrees
Element x y z (fractional)
La1 0.000 0.500 0.500
La2 0.500 0.500 0.000
La3 0.500 0.000 0.500
As1 0.000 0.000 0.000

Symmetry: R-3m, No. 166
Offset from the most stable computed form, kJ/mol of atoms: 26.8
Energy, eV per cell: -20.9
Energy relative to the elements, eV/atom: -0.37
Total magnetic moment, Bohr magnetons per cell: 0.00

=====

No. 10
Density functional theory data (PBE) for crystalline La5As at its relaxed geometry.

Cell lengths 3.874, 3.874, 13.239 Å; angles 90.00, 90.00, 90.00 degrees
Element x y z (fractional)
La1 0.000 0.000 0.879
La2 0.000 0.000 0.500
As1 0.500 0.500 0.000
La3 0.000 0.000 0.121
La4 0.500 0.500 0.309
La5 0.500 0.500 0.691

Symmetry: P4/mmm, No. 123
Energy, eV per cell: -31.7
Energy relative to the elements, eV/atom: -0.40
Total magnetic moment, Bohr magnetons per cell: 0.00

=====

No. 11
Density functional theory data (PBE) for crystalline LaAs5 at its relaxed geometry.

Cell lengths 5.951, 5.951, 6.282 Å; angles 83.29, 83.29, 41.14 degrees
Element x y z (fractional)
As1 0.975 0.975 0.992
As2 0.308 0.308 0.580
As3 0.679 0.679 0.751
As4 0.624 0.624 0.391
La1 0.266 0.266 0.073
As5 0.982 0.982 0.380

Symmetry: Cm, No. 8
Energy, eV per cell: -30.3
Energy relative to the elements, eV/atom: -0.36
Total magnetic moment, Bohr magnetons per cell: 0.00

=====

No. 12
Density functional theory data (PBE) for crystalline LaAs5 at its relaxed geometry.

Cell lengths 3.680, 3.680, 9.626 Å; angles 90.00, 90.00, 90.00 degrees
Element x y z (fractional)
As1 0.500 0.500 0.319
As2 0.000 0.000 0.500
As3 0.000 0.000 0.795
As4 0.500 0.500 0.681
La1 0.500 0.500 0.000
As5 0.000 0.000 0.205

Symmetry: P4/mmm, No. 123
Energy, eV per cell: -28.7
Energy relative to the elements, eV/atom: -0.09
Total magnetic moment, Bohr magnetons per cell: 0.00

=====

No. 13
Density functional theory data (PBE) for crystalline La3As at its relaxed geometry.

Cell lengths 4.846, 4.846, 4.844 Å; angles 90.00, 90.00, 89.97 degrees
Element x y z (fractional)
La1 0.500 0.500 0.000
La2 0.000 0.500 0.500
La3 0.500 0.000 0.500
As1 0.000 0.000 0.000

Symmetry: Pm-3m, No. 221
Offset from the most stable computed form, kJ/mol of atoms: 6.9
Energy, eV per cell: -21.7
Energy relative to the elements, eV/atom: -0.58
Total magnetic moment, Bohr magnetons per cell: 0.00

=====

No. 14
Density functional theory data (PBE) for crystalline LaAs5 at its relaxed geometry.

Cell lengths 5.678, 5.678, 5.678 Å; angles 60.00, 60.00, 60.00 degrees
Element x y z (fractional)
As1 0.621 0.138 0.621
La1 0.000 0.000 0.000
As2 0.138 0.621 0.621
As3 0.250 0.250 0.250
As4 0.621 0.621 0.621
As5 0.621 0.621 0.138

Symmetry: F-43m, No. 216
Energy, eV per cell: -29.3
Energy relative to the elements, eV/atom: -0.19
Total magnetic moment, Bohr magnetons per cell: 0.00

=====

No. 15
Density functional theory data (PBE) for crystalline LaAs at its relaxed geometry.

Cell lengths 8.342, 8.342, 8.342 Å; angles 90.00, 90.00, 90.00 degrees
Element x y z (fractional)
As1 0.000 0.500 0.750
La1 0.500 0.000 0.250
La2 0.000 0.250 0.500
As2 0.250 0.000 0.500
La3 0.750 0.500 0.000
As3 0.500 0.250 0.000
As4 0.750 0.000 0.500
As5 0.000 0.500 0.250
As6 0.500 0.750 0.000
La4 0.000 0.750 0.500
La5 0.500 0.000 0.750
La6 0.250 0.500 0.000

Symmetry: Pm-3n, No. 223
Energy, eV per cell: -69.8
Energy relative to the elements, eV/atom: -1.03
Total magnetic moment, Bohr magnetons per cell: 0.00

=====

No. 16
Density functional theory data (PBE) for crystalline La4As at its relaxed geometry.

Cell lengths 10.408, 10.408, 10.408 Å; angles 157.18, 157.18, 32.49 degrees
Element x y z (fractional)
La1 0.250 0.750 0.500
As1 0.000 0.000 0.000
La2 0.579 0.579 0.000
La3 0.750 0.250 0.500
La4 0.421 0.421 0.000

Symmetry: I4/mmm, No. 139
Offset from the most stable computed form, kJ/mol of atoms: 36.1
Energy, eV per cell: -24.7
Energy relative to the elements, eV/atom: -0.07
Total magnetic moment, Bohr magnetons per cell: 0.00

=====

No. 17
Density functional theory data (PBE) for crystalline La4As at its relaxed geometry.

Cell lengths 5.824, 5.824, 5.824 Å; angles 90.00, 90.00, 90.00 degrees
Element x y z (fractional)
La1 0.000 0.000 0.000
La2 0.500 0.500 0.000
As1 0.500 0.500 0.500
La3 0.000 0.500 0.500
La4 0.500 0.000 0.500

Symmetry: Pm-3m, No. 221
Offset from the most stable computed form, kJ/mol of atoms: 7.5
Energy, eV per cell: -26.2
Energy relative to the elements, eV/atom: -0.37
Total magnetic moment, Bohr magnetons per cell: 0.11

=====

No. 18
Density functional theory data (PBE) for crystalline La5As at its relaxed geometry.

Cell lengths 8.293, 8.293, 4.894 Å; angles 90.00, 90.00, 145.90 degrees
Element x y z (fractional)
La1 0.651 0.349 0.500
La2 0.153 0.847 0.000
La3 0.349 0.651 0.500
La4 0.000 0.000 0.500
As1 0.500 0.500 0.000
La5 0.847 0.153 0.000

Symmetry: Cmmm, No. 65
Energy, eV per cell: -31.2
Energy relative to the elements, eV/atom: -0.32
Total magnetic moment, Bohr magnetons per cell: 0.00

=====

No. 19
Density functional theory data (PBE) for crystalline La3As5 at its relaxed geometry.

Cell lengths 6.434, 6.434, 4.946 Å; angles 90.00, 90.00, 103.51 degrees
Element x y z (fractional)
As1 0.000 0.000 0.000
La1 0.800 0.200 0.500
As2 0.000 0.500 0.000
La2 0.200 0.800 0.500
La3 0.500 0.500 0.000
As3 0.500 0.000 0.000
As4 0.719 0.719 0.500
As5 0.281 0.281 0.500

Symmetry: Cmmm, No. 65
Energy, eV per cell: -45.3
Energy relative to the elements, eV/atom: -0.91
Total magnetic moment, Bohr magnetons per cell: 0.00

=====

No. 20
Density functional theory data (PBE) for crystalline LaAs at its relaxed geometry.

Cell lengths 4.232, 4.232, 3.873 Å; angles 90.00, 90.00, 120.00 degrees
Element x y z (fractional)
La1 0.667 0.333 0.500
As1 0.000 0.000 0.000

Symmetry: P-6m2, No. 187
Energy, eV per cell: -12.2
Energy relative to the elements, eV/atom: -1.31
Total magnetic moment, Bohr magnetons per cell: 0.00

=====

No. 21
Density functional theory data (PBE) for crystalline La3As at its relaxed geometry.

Cell lengths 6.116, 6.116, 6.116 Å; angles 134.32, 134.32, 66.59 degrees
Element x y z (fractional)
As1 0.000 0.000 0.000
La1 0.500 0.500 0.000
La2 0.250 0.750 0.500
La3 0.750 0.250 0.500

Symmetry: I4/mmm, No. 139
Offset from the most stable computed form, kJ/mol of atoms: 15.0
Energy, eV per cell: -21.4
Energy relative to the elements, eV/atom: -0.49
Total magnetic moment, Bohr magnetons per cell: 0.00

=====

No. 22
Density functional theory data (PBE) for crystalline LaAs at its relaxed geometry.

Cell lengths 3.879, 5.777, 4.795 Å; angles 90.00, 90.00, 90.00 degrees
Element x y z (fractional)
La1 0.500 0.500 0.916
La2 0.500 0.000 0.417
As1 0.000 0.500 0.416
As2 0.000 0.000 0.917

Symmetry: Cmmm, No. 65
Energy, eV per cell: -24.1
Energy relative to the elements, eV/atom: -1.24
Total magnetic moment, Bohr magnetons per cell: 0.00

=====

No. 23
Density functional theory data (PBE) for crystalline La2As at its relaxed geometry.

Cell lengths 6.281, 6.281, 7.520 Å; angles 89.98, 89.98, 38.61 degrees
Element x y z (fractional)
La1 0.661 0.661 0.715
La2 0.927 0.927 0.529
La3 0.351 0.351 0.030
As1 0.245 0.245 0.422
La4 0.617 0.617 0.215
As2 0.033 0.033 0.922

Symmetry: Cmc2_1, No. 36
Energy, eV per cell: -34.6
Energy relative to the elements, eV/atom: -0.94
Total magnetic moment, Bohr magnetons per cell: 0.00

=====

No. 24
Density functional theory data (PBE) for crystalline La2As at its relaxed geometry.

Cell lengths 4.216, 6.912, 7.172 Å; angles 90.00, 90.00, 90.00 degrees
Element x y z (fractional)
As1 0.000 0.000 0.000
La1 0.500 0.268 0.149
As2 0.500 0.500 0.500
La2 0.000 0.768 0.351
La3 0.000 0.232 0.649
La4 0.500 0.732 0.851

Symmetry: Pnnm, No. 58
Energy, eV per cell: -34.4
Energy relative to the elements, eV/atom: -0.90
Total magnetic moment, Bohr magnetons per cell: 0.00

=====

No. 25
Density functional theory data (PBE) for crystalline La3As at its relaxed geometry.

Cell lengths 5.456, 5.456, 5.456 Å; angles 60.00, 60.00, 60.00 degrees
Last column: magnetic moment on the atom in μB.
Element x y z (fractional)
La1 0.750 0.750 0.750  0.09
As1 0.000 0.000 0.000  -0.01
La2 0.250 0.250 0.250  0.09
La3 0.500 0.500 0.500  0.21

Symmetry: Fm-3m, No. 225
Offset from the most stable computed form, kJ/mol of atoms: 36.0
Energy, eV per cell: -20.5
Energy relative to the elements, eV/atom: -0.28
Total magnetic moment, Bohr magnetons per cell: 0.65

=====

No. 26
Density functional theory data (PBE) for crystalline LaAs at its relaxed geometry.

Cell lengths 7.677, 7.677, 7.677 Å; angles 34.16, 34.16, 34.16 degrees
Element x y z (fractional)
As1 0.334 0.334 0.334
As2 0.666 0.666 0.666
La1 0.914 0.914 0.914
La2 0.086 0.086 0.086

Symmetry: R-3m, No. 166
Energy, eV per cell: -21.7
Energy relative to the elements, eV/atom: -0.63
Total magnetic moment, Bohr magnetons per cell: 0.00

=====

No. 27
Density functional theory data (PBE) for crystalline La3As at its relaxed geometry.

Cell lengths 4.009, 6.511, 10.004 Å; angles 90.00, 90.00, 90.00 degrees
Element x y z (fractional)
As1 0.500 0.500 0.340
La1 0.000 0.741 0.161
La2 0.000 0.259 0.161
La3 0.500 0.000 0.433
As2 0.000 0.000 0.660
La4 0.500 0.759 0.839
La5 0.500 0.241 0.839
La6 0.000 0.500 0.567

Symmetry: Pmmn, No. 59
Offset from the most stable computed form, kJ/mol of atoms: 1.4
Energy, eV per cell: -44.0
Energy relative to the elements, eV/atom: -0.64
Total magnetic moment, Bohr magnetons per cell: 0.00